1.
A plane-wave DFT calculation with GGA-PBE was carried out for a relaxed structure of CrCd2Ir.

Cell: 4.076 4.101 4.166 Å, 90.00 90.00 90.00°
Space group Pmmm (No. 47)
Asymmetric unit:
Cr  0.000  0.000  0.000 (multiplicity 1)
Cd  0.000  0.500  0.500 (multiplicity 1)
Cd  0.500  0.000  0.500 (multiplicity 1)
Ir  0.500  0.500  0.000 (multiplicity 1)

Values from the calculation:
Mass density ... 11.185 g/cm3
ΔE to the lowest computed polymorph ... 0.176 eV/atom
Energy of formation ... 0.256 eV per atom
Calculated total energy ... -4.822 eV/atom
DOS at the Fermi energy ... 0.538 states/eV per atom

2.
A plane-wave DFT calculation with GGA-PBE was carried out for a relaxed structure of Tm5Hg2.

Cell: 15.984 7.225 6.688 Å, 90.00 90.72 90.00°
Space group C2/c (No. 15)
Asymmetric unit:
Tm  0.000  0.002  0.250 (multiplicity 4)
Tm  0.094  0.350  0.503 (multiplicity 8)
Tm  0.227  0.020  0.758 (multiplicity 8)
Hg  0.113  0.253  0.010 (multiplicity 8)

Values from the calculation:
Mass density ... 10.715 g/cm3
Energy of formation ... -0.245 eV per atom
Calculated total energy ... -3.525 eV/atom
DOS at the Fermi energy ... 0.672 states/eV per atom

3.
A plane-wave DFT calculation with GGA-PBE was carried out for a relaxed structure of AcPm3Sm4.

Cell: 11.895 7.448 6.427 Å, 90.00 90.00 90.00°
Space group Pmn2_1 (No. 31)
Asymmetric unit:
Ac  0.000  0.125  0.000 (multiplicity 2)
Pm  0.000  0.869  0.494 (multiplicity 2)
Pm  0.248  0.128  0.658 (multiplicity 4)
Sm  0.000  0.380  0.492 (multiplicity 2)
Sm  0.000  0.623  0.993 (multiplicity 2)
Sm  0.247  0.622  0.661 (multiplicity 4)

Values from the calculation:
Mass density ... 7.370 g/cm3
ΔE to the lowest computed polymorph ... 0.000 eV/atom
Energy of formation ... 0.042 eV per atom
Calculated total energy ... -4.612 eV/atom
DOS at the Fermi energy ... 1.787 states/eV per atom

4.
A plane-wave DFT calculation with GGA-PBE was carried out for a relaxed structure of Mg4MoAu.

Cell: 7.816 7.816 7.816 Å, 90.00 90.00 90.00°
Space group F-43m (No. 216)
Asymmetric unit:
Mg  0.125  0.125  0.125 (multiplicity 16)
Mo  0.250  0.250  0.750 (multiplicity 4)
Au  0.000  0.000  0.500 (multiplicity 4)

Values from the calculation:
Mass density ... 5.428 g/cm3
Energy of formation ... 0.461 eV per atom
Calculated total energy ... -2.953 eV/atom
DOS at the Fermi energy ... 0.735 states/eV per atom

5.
A plane-wave DFT calculation with GGA-PBE was carried out for a relaxed structure of Pr4Zn3Pd5.

Cell: 13.472 4.658 11.137 Å, 90.00 127.10 90.00°
Space group C2/m (No. 12)
Asymmetric unit:
Pr  0.024  0.000  0.288 (multiplicity 4)
Pr  0.247  0.500  0.265 (multiplicity 4)
Zn  0.000  0.000  0.000 (multiplicity 2)
Zn  0.189  0.500  0.932 (multiplicity 4)
Pd  0.000  0.500  0.000 (multiplicity 2)
Pd  0.078  0.500  0.649 (multiplicity 4)
Pd  0.192  0.500  0.504 (multiplicity 4)

Values from the calculation:
Mass density ... 7.698 g/cm3
Energy of formation ... -0.512 eV per atom
Calculated total energy ... -4.587 eV/atom
DOS at the Fermi energy ... 0.547 states/eV per atom

6.
A plane-wave DFT calculation with GGA-PBE was carried out for a relaxed structure of LiUTcGe.

Cell: 6.461 6.461 6.461 Å, 90.00 90.00 90.00°
Space group F-43m (No. 216)
Asymmetric unit:
Li  0.000  0.000  0.000 (multiplicity 4)
U  0.250  0.250  0.250 (multiplicity 4)
Tc  0.000  0.000  0.500 (multiplicity 4)
Ge  0.250  0.250  0.750 (multiplicity 4)

Values from the calculation:
Mass density ... 10.236 g/cm3
Energy of formation ... 0.029 eV per atom
Calculated total energy ... -7.018 eV/atom
DOS at the Fermi energy ... 1.682 states/eV per atom